No. 1
! SmSc2Co | the Alexandria database | PBE | relaxed; values from VASP
&SYSTEM
  ibrav = 0, nat = 4, ntyp = 3
/
ATOMIC_SPECIES
Co 58.93 Co.upf
Sc 44.96 Sc.upf
Sm 150.36 Sm.upf
CELL_PARAMETERS angstrom
3.553 0.000 0.000
1.776 3.077 0.000
1.776 1.026 8.726
ATOMIC_POSITIONS crystal
Co 0.000 0.000 0.000
Sc 0.279 0.279 0.164
Sc 0.721 0.721 0.836
Sm 0.500 0.500 0.500
! Calculated formation energy: -0.005 eV/atom
! Space-group type: No. 166
! Raw total energy: -24.507 eV for the cell shown
! Size of the total moment: 0.0 μB/f.u.
! DOS(E_F): 4.761 states/eV/cell
! Distance to the lowest polymorph of the same formula: 3.53 kcal/mol of atoms
! V: 23.85 A^3/atom

=====

No. 2
! SmSc3Co | the Alexandria database | PBE | relaxed; values from VASP
&SYSTEM
  ibrav = 0, nat = 5, ntyp = 3
/
ATOMIC_SPECIES
Co 58.93 Co.upf
Sc 44.96 Sc.upf
Sm 150.36 Sm.upf
CELL_PARAMETERS angstrom
-2.375 -2.238 3.724
2.533 -4.162 -0.886
3.531 1.480 3.141
ATOMIC_POSITIONS crystal
Co 0.000 0.000 0.000
Sc 0.500 0.000 0.000
Sc 0.000 0.000 0.500
Sc 0.000 0.500 0.000
Sm 0.500 0.500 0.500
! Calculated formation energy: -0.103 eV/atom
! Space-group type: No. 221
! Raw total energy: -31.334 eV for the cell shown
! Size of the total moment: 0.0 μB/f.u.
! DOS(E_F): 5.605 states/eV/cell
! Distance to the lowest polymorph of the same formula: 0.54 kcal/mol of atoms
! V: 24.28 A^3/atom

=====

No. 3
! SmSc2Co | the Alexandria database | PBE | relaxed; values from VASP
&SYSTEM
  ibrav = 0, nat = 8, ntyp = 3
/
ATOMIC_SPECIES
Sc 44.96 Sc.upf
Co 58.93 Co.upf
Sm 150.36 Sm.upf
CELL_PARAMETERS angstrom
-1.836 2.067 2.102
2.269 -4.459 3.506
7.213 4.864 1.517
ATOMIC_POSITIONS crystal
Sc 0.853 0.707 0.929
Sc 0.853 0.707 0.571
Sc 0.147 0.293 0.429
Sc 0.147 0.293 0.071
Co 0.743 0.485 0.250
Co 0.257 0.515 0.750
Sm 0.428 0.855 0.250
Sm 0.572 0.145 0.750
! Calculated formation energy: -0.158 eV/atom
! Space-group type: No. 63
! Raw total energy: -50.238 eV for the cell shown
! Size of the total moment: 0.0 μB/f.u.
! DOS(E_F): 10.886 states/eV/cell
! Distance to the lowest polymorph of the same formula: 0.00 kcal/mol of atoms
! V: 22.46 A^3/atom

=====

No. 4
! SmSc3Co | the Alexandria database | PBE | relaxed; values from VASP
&SYSTEM
  ibrav = 0, nat = 10, ntyp = 3
/
ATOMIC_SPECIES
Sc 44.96 Sc.upf
Sm 150.36 Sm.upf
Co 58.93 Co.upf
CELL_PARAMETERS angstrom
-0.338 -3.403 -0.961
6.113 1.602 -1.259
2.408 -3.001 9.782
ATOMIC_POSITIONS crystal
Sc 0.224 0.447 0.632
Sc 0.424 0.847 0.179
Sc 0.940 0.880 0.626
Sc 0.776 0.553 0.368
Sc 0.060 0.120 0.374
Sc 0.576 0.153 0.821
Sm 0.152 0.304 0.085
Sm 0.848 0.696 0.915
Co 0.591 0.182 0.560
Co 0.409 0.818 0.440
! Calculated formation energy: -0.126 eV/atom
! Space-group type: No. 12
! Raw total energy: -62.903 eV for the cell shown
! Size of the total moment: 0.0 μB/f.u.
! DOS(E_F): 12.271 states/eV/cell
! Distance to the lowest polymorph of the same formula: 0.00 kcal/mol of atoms
! V: 23.11 A^3/atom

=====

No. 5
! SmSc2Co | the Alexandria database | PBE | relaxed; values from VASP
&SYSTEM
  ibrav = 0, nat = 4, ntyp = 3
/
ATOMIC_SPECIES
Sc 44.96 Sc.upf
Co 58.93 Co.upf
Sm 150.36 Sm.upf
CELL_PARAMETERS angstrom
-1.946 3.048 -0.702
-3.195 0.586 1.737
2.251 5.118 6.319
ATOMIC_POSITIONS crystal
Sc 0.053 0.053 0.841
Sc 0.279 0.279 0.163
Co 0.667 0.667 0.999
Sm 0.501 0.501 0.497
! Calculated formation energy: -0.029 eV/atom
! Space-group type: No. 160
! Raw total energy: -24.606 eV for the cell shown
! Size of the total moment: 0.0 μB/f.u.
! DOS(E_F): 4.058 states/eV/cell
! Distance to the lowest polymorph of the same formula: 2.96 kcal/mol of atoms
! V: 23.98 A^3/atom

=====

No. 6
! Sm2Sc5Co2 | the Alexandria database | PBE | relaxed; values from VASP
&SYSTEM
  ibrav = 0, nat = 18, ntyp = 3
/
ATOMIC_SPECIES
Sc 44.96 Sc.upf
Co 58.93 Co.upf
Sm 150.36 Sm.upf
CELL_PARAMETERS angstrom
6.237 0.000 2.264
0.000 6.605 0.000
-0.102 0.000 10.004
ATOMIC_POSITIONS crystal
Sc 0.500 0.500 0.000
Sc 0.922 0.323 0.796
Sc 0.000 0.000 0.000
Sc 0.422 0.177 0.796
Sc 0.578 0.823 0.204
Sc 0.078 0.677 0.204
Sc 0.283 0.677 0.796
Sc 0.783 0.823 0.796
Sc 0.217 0.177 0.204
Sc 0.717 0.323 0.204
Co 0.880 0.618 0.000
Co 0.120 0.382 0.000
Co 0.620 0.118 0.000
Co 0.380 0.882 0.000
Sm 0.771 0.000 0.458
Sm 0.229 0.000 0.542
Sm 0.729 0.500 0.542
Sm 0.271 0.500 0.458
! Calculated formation energy: -0.126 eV/atom
! Space-group type: No. 64
! Raw total energy: -112.883 eV for the cell shown
! Size of the total moment: 0.0 μB/f.u.
! DOS(E_F): 20.936 states/eV/cell
! V: 22.98 A^3/atom